1.
10
Lattice="7.5047 0.0000 0.0000 0.0000 7.5047 0.0000 0.0000 0.0000 2.9435" Properties=species:S:1:pos:R:3 comment="Al2HgPt2, optimized geometry, DFT PBE-GGA" dos_ef_per_ev_cell=2.4 energy_ev_per_cell=-46.54 pbc="T T T"
Hg 0.0000 0.0000 0.0000
Hg 3.7524 3.7524 0.0000
Pt 6.4119 4.8452 0.0000
Pt 2.6595 6.4119 0.0000
Pt 1.0928 2.6595 0.0000
Pt 4.8452 1.0928 0.0000
Al 2.6440 1.1084 1.4718
Al 6.3963 2.6440 1.4718
Al 4.8608 6.3963 1.4718
Al 1.1084 4.8608 1.4718

2.
4
Lattice="3.7222 0.0000 0.0000 1.8611 3.2235 0.0000 1.8611 1.0745 8.8863" Properties=species:S:1:pos:R:3 comment="PuPa2Ag, optimized geometry, DFT PBE-GGA" dos_ef_per_ev_cell=8.4 energy_ev_per_cell=-33.17 pbc="T T T"
Ag 0.0000 0.0000 0.0000
Pa 1.8611 1.0745 5.8532
Pa 5.5833 3.2235 3.0330
Pu 3.7222 2.1490 4.4431

3.
3
Lattice="-3.9761 -1.1297 0.3955 -1.1908 -3.8238 -1.0964 -1.0977 -2.7479 2.9130" Properties=species:S:1:pos:R:3 comment="MgOs2, optimized geometry, DFT PBE-GGA" dos_ef_per_ev_cell=5.0 energy_ev_per_cell=-19.33 pbc="T T T"
Mg 0.0000 0.0000 0.0000
Os -4.6984 -5.7761 1.6591
Os -1.5661 -1.9254 0.5530

4.
5
Lattice="3.8489 0.0000 0.0000 0.0000 3.8489 0.0000 -1.9244 -1.9244 4.7409" Properties=species:S:1:pos:R:3 comment="TbB2IrRh, optimized geometry, DFT PBE-GGA" dos_ef_per_ev_cell=0.9 energy_ev_per_cell=-37.62 pbc="T T T"
B 0.0000 0.0000 3.3849
B 1.9244 1.9244 1.3560
Tb 0.0000 0.0000 0.0000
Ir 1.9244 0.0000 2.3705
Rh 0.0000 1.9244 2.3705

5.
11
Lattice="-2.6034 -2.8821 4.1697 5.0369 0.9813 3.0327 0.2767 5.1691 2.9553" Properties=species:S:1:pos:R:3 comment="GaSb2F8, optimized geometry, DFT PBE-GGA" formation_energy_uncorrected_ev_per_atom=-2.187 dos_ef_per_ev_cell=2.3 pbc="T T T"
F 1.2737 -1.3869 5.6819
F 4.1380 4.8240 6.5257
F -1.4277 -1.5557 3.6320
F 4.3518 2.0904 4.5232
F 1.2345 1.5283 6.7729
F 1.4758 1.7400 3.3848
F 1.4366 4.6552 4.4758
F -1.6415 1.1778 5.6346
Ga 0.0000 0.0000 0.0000
Sb 0.1987 0.2862 3.2689
Sb 2.5116 2.9820 6.8888

6.
16
Lattice="-1.6721 -2.8723 1.2532 3.2215 2.4223 4.8164 -9.2805 6.6513 2.8622" Properties=species:S:1:pos:R:3 comment="LiLaTl2O4, optimized geometry, DFT PBE-GGA" formation_energy_uncorrected_ev_per_atom=-1.575 dos_ef_per_ev_cell=2.5 pbc="T T T"
O -4.6402 3.3256 1.4311
O -5.0430 5.7811 6.5217
O -1.7173 3.0139 4.6165
O 0.2328 1.6163 4.0151
O 0.0000 0.0000 0.0000
O -6.0137 3.1873 4.3153
O -7.9639 4.5850 4.9167
O -2.6881 0.4201 2.4101
La -1.1375 1.0612 5.9481
La -6.5935 5.1401 2.9837
Tl -0.6293 -0.8845 2.1669
Tl -7.1018 7.0857 6.7649
Tl -4.4444 1.8498 3.3436
Tl -3.2866 4.3514 5.5882
Li -1.3618 2.0590 2.9021
Li -6.3692 4.1423 6.0297

7.
4
Lattice="3.3641 0.0000 0.0000 1.6820 2.9134 0.0000 1.6820 0.9711 10.4957" Properties=species:S:1:pos:R:3 comment="MgPa2P, optimized geometry, DFT PBE-GGA" dos_ef_per_ev_cell=6.4 energy_ev_per_cell=-26.37 pbc="T T T"
Pa 1.6820 0.9711 7.1540
Pa 5.0461 2.9134 3.3417
Mg 0.0000 0.0000 0.0000
P 3.3641 1.9422 5.2478

8.
8
Lattice="-4.7927 -3.5634 4.7839 5.9547 -2.4929 4.1087 0.4302 -0.3529 6.2880" Properties=species:S:1:pos:R:3 comment="LiZrPb2, optimized geometry, DFT PBE-GGA" dos_ef_per_ev_cell=8.8 energy_ev_per_cell=-35.21 pbc="T T T"
Li 3.4830 -2.9369 7.4215
Li 0.5810 -3.0281 4.4463
Zr 0.0000 0.0000 0.0000
Zr -1.8907 -3.4722 7.7591
Pb -1.9679 -2.4964 4.9002
Pb 3.0545 -2.2223 4.9132
Pb 1.1212 -5.4725 12.3465
Pb 0.9766 -2.6271 8.2013

9.
5
Lattice="-3.8903 -1.6242 -2.0331 -1.2045 -2.4530 4.2647 -2.3522 3.7590 1.4978" Properties=species:S:1:pos:R:3 comment="KInRhF2, optimized geometry, DFT PBE-GGA" formation_energy_uncorrected_ev_per_atom=-0.870 dos_ef_per_ev_cell=1.8 pbc="T T T"
K -3.7235 -0.1591 1.8647
In -0.6023 -1.2265 2.1323
Rh 0.0000 0.0000 0.0000
F -1.1761 1.8795 0.7489
F -1.9452 -0.8121 -1.0165

10.
19
Lattice="-5.1839 -2.0784 -6.6390 -0.7352 -8.1390 2.9129 -7.0322 2.1177 4.6188" Properties=species:S:1:pos:R:3 comment="Nd12Ho6Er, optimized geometry, DFT PBE-GGA" dos_ef_per_ev_cell=32.6 energy_ev_per_cell=-86.72 pbc="T T T"
Er 0.0000 0.0000 0.0000
Ho -10.0961 -2.7095 -1.6982
Ho -8.4117 -4.7356 4.3560
Ho -2.8552 -5.3903 2.5909
Ho -4.5396 -3.3642 -3.4633
Ho -6.3704 0.1457 1.8211
Ho -6.5809 -8.2454 -0.9284
Nd -6.5932 -6.1266 1.8762
Nd -2.7886 -0.8386 2.1175
Nd -11.5570 -4.7832 1.0316
Nd -10.1628 -7.2612 -1.2247
Nd -6.3581 -1.9732 -0.9835
Nd -7.4942 -5.0717 -1.6247
Nd -3.2510 -0.4941 -1.4662
Nd -9.7003 -7.6057 2.3589
Nd -4.3561 -5.1123 -0.4193
Nd -5.4571 -3.0280 2.5174
Nd -8.5953 -2.9874 1.3120
Nd -1.3944 -3.3165 -0.1389

11.
5
Lattice="-0.5420 0.1822 4.6830 -4.4311 -1.5552 -0.4523 1.5262 -4.4504 0.3497" Properties=species:S:1:pos:R:3 comment="KBiOs3, optimized geometry, DFT PBE-GGA" dos_ef_per_ev_cell=8.3 energy_ev_per_cell=-20.91 pbc="T T T"
Os -0.2710 0.0911 2.3415
Os -2.2155 -0.7776 -0.2262
Os 0.7631 -2.2252 0.1749
Bi -1.7234 -2.9117 2.2902
K 0.0000 0.0000 0.0000

12.
13
Lattice="5.4700 -0.0004 -2.9511 -3.5309 5.1149 -0.0003 0.0519 0.0364 6.6413" Properties=species:S:1:pos:R:3 comment="HoTa4N8, optimized geometry, DFT PBE-GGA" formation_energy_uncorrected_ev_per_atom=-0.882 dos_ef_per_ev_cell=6.2 pbc="T T T"
N -0.7204 1.4137 5.2095
N -0.0648 3.7314 -0.1206
N 2.0558 1.4195 3.8104
N 1.7534 1.2104 -0.0615
N -2.4649 3.9407 5.2094
N 2.7115 3.7372 -1.5197
N 0.2376 3.9405 3.7513
N 4.4559 1.2102 -1.5196
Ta 0.0000 0.0000 0.0000
Ta 0.9695 2.5573 -1.4757
Ta 2.7350 -0.0002 -1.4756
Ta -1.7135 2.5938 6.6411
Ho -1.7395 2.5757 3.3205

13.
10
Lattice="-2.8332 4.8300 1.2638 -0.8992 1.4497 5.4811 2.8823 4.5035 2.2879" Properties=species:S:1:pos:R:3 comment="Na2PaSbO6, optimized geometry, DFT PBE-GGA" formation_energy_uncorrected_ev_per_atom=-2.357 dos_ef_per_ev_cell=0.0 pbc="T T T"
O -0.4997 3.5110 6.3273
O 0.4561 6.8266 3.0861
O 1.6771 4.7125 4.5617
O -2.4848 6.9318 4.9724
O -0.8760 4.2222 2.2245
O 0.4072 6.8646 5.9383
Na 2.0860 4.0383 2.2801
Na -1.2176 4.9285 4.5085
Sb -1.0341 2.2159 2.2503
Pa -1.4582 7.6081 6.7667

14.
4
Lattice="-8.7134 1.0604 2.3816 -8.9216 -1.6927 0.5100 -8.0704 -1.9233 3.7269" Properties=species:S:1:pos:R:3 comment="FeCoPb2, optimized geometry, DFT PBE-GGA" dos_ef_per_ev_cell=2.2 energy_ev_per_cell=-21.23 pbc="T T T"
Fe -19.7635 -1.9649 5.0886
Co -12.4430 -1.2371 3.2038
Pb -0.4495 -0.0447 0.1157
Pb -5.9022 -0.5868 1.5197

15.
12
Lattice="-7.7728 -5.9245 0.4894 4.1746 -5.1030 4.5275 -4.8370 6.3652 0.2327" Properties=species:S:1:pos:R:3 comment="Pm3Ho2Cd, optimized geometry, DFT PBE-GGA" dos_ef_per_ev_cell=14.6 energy_ev_per_cell=-49.32 pbc="T T T"
Cd -2.3691 -0.0388 4.8673
Cd -5.5933 -4.2631 0.3525
Ho -4.4458 -5.5150 3.4369
Ho -3.5178 1.2122 1.7830
Ho -0.5595 -2.5526 3.1929
Ho -7.4041 -1.7502 2.0270
Pm -10.8493 -1.3208 1.4332
Pm -6.9631 1.6419 1.1901
Pm -1.0015 -5.9449 4.0314
Pm -7.8668 -5.1130 2.8535
Pm -4.8877 -8.9076 4.2745
Pm -3.9808 -2.1502 2.6110

16.
5
Lattice="-1.6916 2.5818 -3.5927 1.4268 -3.3224 -3.0594 -4.3099 -2.2383 0.4207" Properties=species:S:1:pos:R:3 comment="AlBiSCl2, optimized geometry, DFT PBE-GGA" formation_energy_uncorrected_ev_per_atom=-0.446 dos_ef_per_ev_cell=2.6 pbc="T T T"
Bi -2.2873 -1.4895 -3.1157
Cl -0.8458 1.2909 -1.7963
Cl 0.7134 -1.6612 -1.5297
S -2.1549 -1.1192 0.2104
Al 0.0000 0.0000 0.0000

17.
4
Lattice="-0.3062 -1.7046 -2.3643 -0.1905 -2.9086 0.3052 -5.8278 -1.1214 -0.2532" Properties=species:S:1:pos:R:3 comment="UMoH2, optimized geometry, DFT PBE-GGA" dos_ef_per_ev_cell=5.4 energy_ev_per_cell=-28.70 pbc="T T T"
H -5.1319 -4.2724 -1.7045
H -1.1926 -1.4622 -0.6078
Mo 0.0000 0.0000 0.0000
U -3.1623 -2.8673 -1.1562

18.
4
Lattice="7.8226 0.0690 0.0192 6.0963 4.9024 -0.0192 -6.9209 -2.5938 2.5637" Properties=species:S:1:pos:R:3 comment="CuTe2W, optimized geometry, DFT PBE-GGA" formation_energy_uncorrected_ev_per_atom=0.285 dos_ef_per_ev_cell=1.9 pbc="T T T"
Cu 2.3680 2.1473 1.2723
Te 3.6561 -0.1176 1.2914
Te 13.7859 4.9238 0.0000
W 8.0666 2.8811 0.0000

19.
20
Lattice="7.1528 -0.5455 -0.5661 1.6414 9.3454 0.1963 1.6414 -0.1502 9.3463" Properties=species:S:1:pos:R:3 comment="NaCd2InCl6, optimized geometry, DFT PBE-GGA" formation_energy_uncorrected_ev_per_atom=-1.152 dos_ef_per_ev_cell=0.0 pbc="T T T"
Cd 7.3831 5.1041 7.0683
Cd 3.8067 7.1470 5.6456
Cd 3.0525 3.5456 1.9082
Cd 6.6289 1.5027 3.3309
Cl 8.4527 6.0476 4.9287
Cl 4.8670 7.6121 3.4773
Cl 7.5343 6.6276 9.0122
Cl 5.5593 3.6758 2.4673
Cl 1.9922 5.7297 1.5238
Cl 8.4434 2.9201 7.4527
Cl 1.9829 2.6021 4.0478
Cl 3.9579 9.0332 7.2401
Cl 6.4778 -0.3834 1.7363
Cl 2.9013 2.0221 -0.0357
Cl 5.5686 1.0376 5.4991
Cl 4.8763 4.9739 6.5092
Na 7.0060 6.2697 2.3413
Na 3.4296 2.3800 6.6352
In 7.0060 0.3227 8.0718
In 3.4296 8.3271 0.9047

20.
5
Lattice="5.3357 0.0000 0.0000 0.0000 5.3357 0.0000 0.0000 0.0000 5.7971" Properties=species:S:1:pos:R:3 comment="TiGaTe2I, optimized geometry, DFT PBE-GGA" formation_energy_uncorrected_ev_per_atom=-0.212 dos_ef_per_ev_cell=2.0 pbc="T T T"
I 0.0000 0.0000 2.8986
Ti 0.0000 0.0000 0.0000
Ga 2.6679 2.6679 2.8986
Te 2.6679 0.0000 0.0000
Te 0.0000 2.6679 0.0000

no.,spin magnetization (μB per formula unit)
1,0.000
2,1.353
3,0.001
4,0.000
5,0.000
6,0.000
7,0.000
8,0.000
9,0.769
10,0.000
11,0.000
12,0.002
13,0.000
14,4.434
15,0.000
16,0.000
17,0.002
18,0.000
19,0.000
20,0.031